Model w:
InOsBr2 | PBE | relaxed Values from VASP.

Properties
Space-group type: Cmm2, No. 35
Total magnetization, μB per formula unit: 0.000
Density of states at the Fermi level, states/eV/cell: 2.84

Cell and atoms, written as Quantum ESPRESSO input:
```
&SYSTEM
  ibrav = 0, nat = 4, ntyp = 3
/
ATOMIC_SPECIES
In 114.82 In.upf
Os 190.23 Os.upf
Br 79.90 Br.upf
CELL_PARAMETERS angstrom
1.683 -3.128 0.000
1.683 3.128 0.000
0.000 0.000 9.654
ATOMIC_POSITIONS angstrom
In 0.000 0.000 0.000
Os 1.683 0.000 7.537
Br 0.000 0.000 5.732
Br 1.683 0.000 2.146
```



Model x:
InOsBr2 | PBE | relaxed Values from VASP.

Properties
Space-group type: R-3m, No. 166
Total magnetization, μB per formula unit: 0.000
Density of states at the Fermi level, states/eV/cell: 3.45

Cell and atoms, written as Quantum ESPRESSO input:
```
&SYSTEM
  ibrav = 0, nat = 4, ntyp = 3
/
ATOMIC_SPECIES
In 114.82 In.upf
Os 190.23 Os.upf
Br 79.90 Br.upf
CELL_PARAMETERS angstrom
1.592 0.919 10.375
-1.592 0.919 10.375
0.000 -1.838 10.375
ATOMIC_POSITIONS angstrom
In 0.000 0.000 0.000
Os 0.000 0.000 15.562
Br 0.000 0.000 13.193
Br 0.000 0.000 17.931
```



Question: of the structures shown, which is the most stable? Reply: model w.